Entry 1:
Here is crystalline Nb2VB6 at its relaxed geometry from Alexandria via LeMat-Bulk. Energies are from GGA-PBE.

The structure in extended XYZ format:
```
9
Lattice="3.254 0.000 0.000 0.000 4.625 -2.670 0.000 0.000 5.341" Properties=species:S:1:pos:R:3 pbc="T T T"
B 1.627 3.107 1.794
B 1.627 1.518 -0.876
B 1.627 0.000 1.753
Nb 0.000 3.083 0.000
B 1.627 3.107 -1.794
Nb 0.000 1.542 2.670
B 1.627 1.518 0.876
V 0.000 0.000 0.000
B 1.627 0.000 3.588
```

Calculated values
**Formation energy**: -6.18 eV per formula unit
**Electronic total energy**: -8.3889 eV/atom

Entry 2:
Here is crystalline CdMoS2N at its relaxed geometry from Alexandria via LeMat-Bulk. Energies are from GGA-PBE.

The structure in extended XYZ format:
```
5
Lattice="-4.826 -0.703 -0.048 0.518 -3.311 -3.544 0.373 -2.741 2.616" Properties=species:S:1:pos:R:3 pbc="T T T"
S -2.413 -0.351 -0.024
Cd -1.968 -3.378 -0.488
Mo 0.000 0.000 0.000
N 0.187 -1.370 1.308
S 0.259 -1.656 -1.772
```

Calculated values
**Raw formation energy**: 0.04 eV/atom
**Energy above the lowest structure with this stoichiometry**: 0.00 eV/f.u.
**Electronic total energy**: -5.6283 eV/atom

Entry 3:
Here is crystalline Sr2Hg5Pd at its relaxed geometry from Alexandria via LeMat-Bulk. Energies are from GGA-PBE.

The structure in extended XYZ format:
```
16
Lattice="4.379 0.000 0.000 -2.189 9.934 0.000 0.000 0.000 10.276" Properties=species:S:1:pos:R:3 pbc="T T T"
Hg 2.189 1.623 7.707
Hg 0.000 7.341 5.362
Hg 0.000 4.142 6.236
Hg 0.000 8.311 2.569
Sr 0.000 3.560 2.569
Pd 2.189 1.137 2.569
Hg 0.000 7.341 10.051
Hg 2.189 2.592 4.913
Sr 0.000 0.000 5.138
Hg 2.189 5.791 1.098
Hg 2.189 5.791 4.040
Pd 0.000 8.796 7.707
Hg 0.000 4.142 9.178
Sr 2.189 6.373 7.707
Hg 2.189 2.592 0.224
Sr 0.000 0.000 0.000
```

Calculated values
**Formation energy**: -3.20 eV per formula unit
**Electronic total energy**: -1.6583 eV/atom

Entry 4:
Here is crystalline Ba2FeW at its relaxed geometry from Alexandria via LeMat-Bulk. Energies are from GGA-PBE.

The structure in extended XYZ format:
```
4
Lattice="-1.659 -3.351 0.057 4.576 -2.242 1.375 0.849 -0.305 6.801" Properties=species:S:1:pos:R:3 pbc="T T T"
Ba 5.274 -2.484 7.518
Ba 0.668 -2.371 2.771
Fe 3.543 -1.678 4.461
W 2.418 -3.187 5.748
```

Calculated values
**Formation energy**: 3.36 eV per formula unit
**Energy above the lowest structure with this stoichiometry**: 1.07 eV/f.u.
**Electronic total energy**: -5.4763 eV/atom

Entry 5:
Here is crystalline Er5TlGa4 at its relaxed geometry from Alexandria via LeMat-Bulk. Energies are from GGA-PBE.

The structure in extended XYZ format:
```
10
Lattice="-2.523 0.762 2.371 -0.813 -3.442 0.241 12.199 -1.931 13.602" Properties=species:S:1:pos:R:3 pbc="T T T"
Ga 2.571 -0.407 2.866
Er 4.432 -2.305 8.107
Er 6.768 -2.675 10.712
Er 9.141 -3.051 13.357
Ga 4.938 -0.782 5.506
Ga 9.629 -1.524 10.736
Er 2.095 -1.936 5.501
Tl 0.000 0.000 0.000
Er -0.277 -1.560 2.856
Ga 7.262 -1.149 8.097
```

Calculated values
**Formation energy**: -5.22 eV per formula unit
**Electronic total energy**: -4.2512 eV/atom

Entry 6:
Here is crystalline Dy4Y5Sc2 at its relaxed geometry from Alexandria via LeMat-Bulk. Energies are from GGA-PBE.

The structure in extended XYZ format:
```
11
Lattice="-4.027 -3.086 -1.991 3.161 -0.306 -5.917 6.722 -6.111 3.333" Properties=species:S:1:pos:R:3 pbc="T T T"
Dy 5.763 -5.164 -3.650
Y -2.013 -1.543 -0.996
Y 2.340 -5.540 -3.604
Sc 5.400 -6.630 -0.646
Y 2.105 -7.272 -0.444
Y 3.517 -3.962 -0.971
Dy 1.521 -1.010 -1.510
Dy 0.094 -4.338 -0.925
Dy 4.335 -8.492 -3.065
Y 3.752 -2.230 -4.131
Sc 0.457 -2.873 -3.929
```

Calculated values
**Formation energy**: 0.84 eV per formula unit
**Energy above the lowest structure with this stoichiometry**: 0.00 eV/f.u.
**Electronic total energy**: -5.6866 eV/atom

Entry 7:
Here is crystalline Pu3Sb2Te at its relaxed geometry from Alexandria via LeMat-Bulk. Energies are from GGA-PBE.

The structure in extended XYZ format:
```
6
Lattice="4.275 0.000 -1.211 -0.656 5.790 -2.317 -0.135 -0.341 7.673" Properties=species:S:1:pos:R:3 pbc="T T T"
Pu 2.375 3.758 0.233
Te -0.328 2.895 -1.159
Sb 2.691 0.845 1.349
Pu 0.000 0.000 0.000
Pu 1.108 1.691 3.912
Sb 0.792 4.605 2.796
```

Calculated values
**Raw formation energy**: -0.78 eV/atom
**Electronic total energy**: -9.8462 eV/atom

Entry 8:
Here is crystalline Nd2Al4IrPd3 at its relaxed geometry from Alexandria via LeMat-Bulk. Energies are from GGA-PBE.

The structure in extended XYZ format:
```
10
Lattice="-3.544 -2.373 -0.743 2.009 -1.970 -3.291 3.461 -7.175 6.406" Properties=species:S:1:pos:R:3 pbc="T T T"
Nd 3.582 -6.328 3.125
Pd 1.236 -7.422 5.196
Al 0.389 -5.666 3.628
Pd 1.731 -3.588 3.203
Pd 1.458 -1.924 -0.807
Nd -0.888 -3.018 1.264
Al -0.768 -2.171 -2.017
Al 2.305 -3.681 0.761
Al 0.000 0.000 0.000
Ir 0.963 -5.759 1.186
```

Calculated values
**Formation energy**: -8.60 eV per formula unit
**Electronic total energy**: -5.7546 eV/atom

Entry 9:
Here is crystalline SmDy5 at its relaxed geometry from Alexandria via LeMat-Bulk. Energies are from GGA-PBE.

The structure in extended XYZ format:
```
6
Lattice="-0.610 -3.319 3.726 -3.151 -2.653 -2.879 7.380 -2.704 -1.200" Properties=species:S:1:pos:R:3 pbc="T T T"
Dy 1.634 -3.006 0.982
Dy 3.862 -2.681 -1.756
Dy -1.880 -2.986 0.424
Dy 1.986 -5.670 -1.334
Dy 0.367 -2.675 -2.323
Sm 0.000 0.000 0.000
```

Calculated values
**Formation energy**: 0.11 eV per formula unit
**Energy above the lowest structure with this stoichiometry**: 0.00 eV/f.u.
**Electronic total energy**: -4.6041 eV/atom

Entry 10:
Here is crystalline Np3Si8Ir3 at its relaxed geometry from Alexandria via LeMat-Bulk. Energies are from GGA-PBE.

The structure in extended XYZ format:
```
14
Lattice="4.155 0.000 1.096 1.283 6.943 3.561 0.074 0.161 8.143" Properties=species:S:1:pos:R:3 pbc="T T T"
Np 3.317 1.824 4.275
Ir 3.676 5.007 11.337
Si 2.523 2.453 7.285
Np 2.196 5.280 8.525
Si 4.733 5.955 7.329
Ir 0.679 3.552 5.852
Ir 1.836 2.097 1.463
Si 0.779 1.149 5.471
Si 1.515 0.062 2.682
Np 0.000 0.000 0.000
Si 1.379 3.846 3.196
Si 3.998 7.042 10.118
Si 2.990 4.650 5.515
Si 4.133 3.258 9.604
```

Calculated values
**Raw formation energy**: -0.44 eV/atom
**Electronic total energy**: -8.2100 eV/atom

Entry 11:
Here is crystalline Rb2Sn5Au4 at its relaxed geometry from Alexandria via LeMat-Bulk. Energies are from GGA-PBE.

The structure in extended XYZ format:
```
11
Lattice="-0.616 -5.191 -3.442 3.947 0.396 -6.994 6.094 -4.911 0.624" Properties=species:S:1:pos:R:3 pbc="T T T"
Sn 3.800 -2.068 -6.025
Sn 5.625 -7.637 -3.787
Au 2.068 -1.564 -3.702
Au 8.262 -6.778 -8.329
Sn 5.021 -2.257 -3.185
Au 7.357 -8.142 -6.110
Rb 6.976 -4.374 -6.034
Sn 3.484 -4.729 -7.790
Rb 2.449 -5.332 -3.778
Sn 5.941 -4.977 -2.023
Au 1.163 -2.928 -1.483
```

Calculated values
**Formation energy**: -1.35 eV per formula unit
**Electronic total energy**: -3.3095 eV/atom

Entry 12:
Here is crystalline MoAsP2 at its relaxed geometry from Alexandria via LeMat-Bulk. Energies are from GGA-PBE.

The structure in extended XYZ format:
```
4
Lattice="-0.298 -4.394 -0.648 2.408 -3.204 -1.936 2.427 -1.044 4.135" Properties=species:S:1:pos:R:3 pbc="T T T"
Mo 1.214 -0.522 2.067
As 1.055 -3.799 -1.292
P 2.294 -5.789 -0.526
P 2.243 -2.853 2.077
```

Calculated values
**Formation energy**: 0.38 eV per formula unit
**Electronic total energy**: -6.4792 eV/atom

Entry 13:
Here is crystalline YMnTe2 at its relaxed geometry from Alexandria via LeMat-Bulk. Energies are from GGA-PBE.

The structure in extended XYZ format:
```
4
Lattice="2.101 0.000 9.273 -1.051 1.820 9.273 -1.051 -1.820 9.273" Properties=species:S:1:pos:R:3 pbc="T T T"
Mn 0.000 0.000 13.910
Te 0.000 0.000 3.086
Te 0.000 0.000 24.734
Y 0.000 0.000 0.000
```

Calculated values
**Raw formation energy**: 0.02 eV/atom
**Electronic total energy**: -5.4600 eV/atom

Entry 14:
Here is crystalline BeP2S6 at its relaxed geometry from Alexandria via LeMat-Bulk. Energies are from GGA-PBE.

The structure in extended XYZ format:
```
9
Lattice="6.855 0.000 0.000 0.000 5.608 -3.238 0.000 0.000 6.475" Properties=species:S:1:pos:R:3 pbc="T T T"
S 5.287 3.823 3.238
P 5.573 1.869 3.238
S 5.287 0.892 4.929
S 5.287 0.892 1.546
P 1.283 3.738 0.000
S 1.568 4.715 1.692
Be 0.000 0.000 0.000
S 1.568 1.785 0.000
S 1.568 4.715 -1.692
```

Calculated values
**Raw formation energy**: 0.07 eV/atom
**Energy above the lowest structure with this stoichiometry**: 3.11 eV/f.u.
**Electronic total energy**: -4.2965 eV/atom

Entry 15:
Here is crystalline EuDyGaNi at its relaxed geometry from Alexandria via LeMat-Bulk. Energies are from GGA-PBE.

The structure in extended XYZ format:
```
4
Lattice="-3.485 3.522 0.796 -4.550 -1.304 1.667 -1.380 1.150 4.686" Properties=species:S:1:pos:R:3 pbc="T T T"
Dy -2.354 0.842 1.787
Ni -4.708 1.684 3.575
Eu -7.062 2.526 5.362
Ga 0.000 0.000 0.000
```

Calculated values
**Formation energy**: -1.18 eV per formula unit
**Electronic total energy**: -6.2155 eV/atom

Entry 16:
Here is crystalline Na3Sc3SiO8 at its relaxed geometry from Alexandria via LeMat-Bulk. Energies are from GGA-PBE.

The structure in extended XYZ format:
```
15
Lattice="6.174 0.000 0.000 -3.087 5.347 -0.019 0.000 -3.546 5.510" Properties=species:S:1:pos:R:3 pbc="T T T"
O -1.733 2.796 3.753
Sc -1.544 0.901 2.746
Na -1.544 2.674 -0.010
Na 0.000 0.000 0.000
Si 0.000 -1.773 2.755
Sc 3.087 -1.773 2.755
Sc 1.544 0.901 2.746
O 4.820 -0.995 1.738
O 1.733 2.796 3.753
O 0.000 -0.205 3.764
O 3.087 2.007 1.727
O 0.000 1.788 1.646
Na 1.544 2.674 -0.010
O 3.087 0.013 3.845
O 1.354 -0.995 1.738
```

Calculated values
**Raw formation energy**: -2.77 eV/atom
**Electronic total energy**: -7.3070 eV/atom

Entry 17:
Here is crystalline PmPrHoTh at its relaxed geometry from Alexandria via LeMat-Bulk. Energies are from GGA-PBE.

The structure in extended XYZ format:
```
4
Lattice="-2.372 2.852 4.384 -1.680 -2.840 4.700 2.894 0.626 4.921" Properties=species:S:1:pos:R:3 pbc="T T T"
Th -0.869 0.478 10.504
Ho 0.000 0.000 0.000
Pm -0.579 0.319 7.003
Pr -0.290 0.159 3.501
```

Calculated values
**Formation energy**: 0.65 eV per formula unit
**Energy above the lowest structure with this stoichiometry**: 0.55 eV/f.u.
**Electronic total energy**: -5.2188 eV/atom

Entry 18:
Here is crystalline CaTl2BiRh at its relaxed geometry from Alexandria via LeMat-Bulk. Energies are from GGA-PBE.

The structure in extended XYZ format:
```
5
Lattice="5.242 0.000 0.000 0.000 5.242 0.000 0.000 0.000 5.438" Properties=species:S:1:pos:R:3 pbc="T T T"
Ca 0.000 0.000 2.719
Tl 0.000 2.621 0.000
Rh 0.000 0.000 0.000
Tl 2.621 0.000 0.000
Bi 2.621 2.621 2.719
```

Calculated values
**Formation energy**: -0.69 eV per formula unit
**Electronic total energy**: -3.7318 eV/atom

Entry 19:
Here is crystalline TaHgSb at its relaxed geometry from Alexandria via LeMat-Bulk. Energies are from GGA-PBE.

The structure in extended XYZ format:
```
3
Lattice="4.732 0.000 0.000 2.366 4.098 0.000 2.366 1.366 3.864" Properties=species:S:1:pos:R:3 pbc="T T T"
Ta 0.000 0.000 0.000
Sb 7.098 4.098 2.898
Hg 4.732 2.732 1.932
```

Calculated values
**Raw formation energy**: 0.89 eV/atom
**Energy above the lowest structure with this stoichiometry**: 1.69 eV/f.u.
**Electronic total energy**: -4.5362 eV/atom

Entry 20:
Here is crystalline GaGe2As at its relaxed geometry from Alexandria via LeMat-Bulk. Energies are from GGA-PBE.

The structure in extended XYZ format:
```
4
Lattice="0.000 3.397 3.397 3.397 0.000 3.397 3.397 3.397 0.000" Properties=species:S:1:pos:R:3 pbc="T T T"
As 3.397 3.397 3.397
Ga 0.000 0.000 0.000
Ge 5.095 5.095 5.095
Ge 1.698 1.698 1.698
```

Calculated values
**Formation energy**: 1.12 eV per formula unit
**Energy above the lowest structure with this stoichiometry**: 1.27 eV/f.u.
**Electronic total energy**: -3.9475 eV/atom